DFT (PBE) results for an optimized crystal structure of ZnPRu2.

Lattice parameters (Å, degrees): 2.8379 3.6877 5.2518 90.00 90.00 90.00
Positions (direct):
Zn 0.0000 0.0000 0.4763
P 0.5000 0.5000 0.7938
Ru 0.0000 0.0000 0.9663
Ru 0.5000 0.5000 0.2637

Summary:
Calculated formation energy (eV per atom): 0.0071
Offset from the most stable computed form (meV/atom): 264


DFT (PBE) results for an optimized crystal structure of Er2SbSe.

Lattice parameters (Å, degrees): 4.1936 5.9646 8.3992 90.00 90.00 90.00
Positions (direct):
Er 0.0000 0.0000 0.8649
Er 0.0000 0.0000 0.3832
Er 0.5000 0.5000 0.6168
Er 0.5000 0.5000 0.1351
Sb 0.0000 0.5000 0.8734
Sb 0.5000 0.0000 0.1266
Se 0.5000 0.0000 0.6217
Se 0.0000 0.5000 0.3783

Summary:
Offset from the most stable computed form (meV/atom): 0


DFT (PBE) results for an optimized crystal structure of NaSrO3.

Lattice parameters (Å, degrees): 4.1127 4.1127 4.1127 90.00 90.00 90.00
Positions (direct):
Sr 0.5000 0.5000 0.5000
O 0.0000 0.5000 0.0000
O 0.0000 0.0000 0.5000
O 0.5000 0.0000 0.0000
Na 0.0000 0.0000 0.0000

Summary:
Total DFT energy (no corrections) (eV/atom): -4.450


DFT (PBE) results for an optimized crystal structure of TlTc2B.

Lattice parameters (Å, degrees): 4.3525 4.3525 4.3525 60.00 60.00 60.00
Positions (direct):
Tl 0.5000 0.5000 0.5000
B 0.0000 0.0000 0.0000
Tc 0.2500 0.2500 0.2500
Tc 0.7500 0.7500 0.7500

Summary:
Calculated formation energy (eV per atom): 1.1300
Offset from the most stable computed form (meV/atom): 148


DFT (PBE) results for an optimized crystal structure of BaCa3Pt.

Lattice parameters (Å, degrees): 15.5996 10.0283 10.0283 101.40 132.38 47.62
Positions (direct):
Ca 0.3704 0.2755 0.4418
Ca 0.1296 0.9418 0.7755
Ca 0.6296 0.7245 0.5582
Ca 0.8704 0.0582 0.2245
Ca 0.1033 0.2659 0.0063
Ca 0.3967 0.5063 0.7659
Ca 0.8967 0.7341 0.9937
Ca 0.6033 0.4937 0.2341
Ca 0.4432 0.0900 0.7948
Ca 0.0568 0.2948 0.5900
Ca 0.5568 0.9100 0.2052
Ca 0.9432 0.7052 0.4100
Ba 0.7500 0.0975 0.5975
Ba 0.2500 0.9025 0.4025
Ba 0.7500 0.5037 0.0037
Ba 0.2500 0.4963 0.9963
Pt 0.1089 0.3564 0.3246
Pt 0.3911 0.8246 0.8564
Pt 0.8911 0.6436 0.6754
Pt 0.6089 0.1754 0.1436

Summary:
Calculated formation energy (eV per atom): -0.3601
Offset from the most stable computed form (meV/atom): 101


DFT (PBE) results for an optimized crystal structure of Mg2Sc4N.

Lattice parameters (Å, degrees): 4.4784 4.4784 8.3252 74.40 74.40 90.00
Positions (direct):
Sc 0.8573 0.8573 0.2854
Sc 0.1427 0.1427 0.7146
Sc 0.0000 0.5000 0.0000
Sc 0.5000 0.0000 0.0000
Mg 0.6462 0.6462 0.7075
Mg 0.3538 0.3538 0.2925
N 0.0000 0.0000 0.0000

Summary:
Total DFT energy (no corrections) (eV/atom): -5.629


DFT (PBE) results for an optimized crystal structure of YReRhN2.

Lattice parameters (Å, degrees): 4.0830 5.8955 4.0830 90.00 90.00 90.00
Positions (direct):
Y 0.0000 0.0000 0.0000
Re 0.0000 0.5000 0.0000
Rh 0.5000 0.5000 0.5000
N 0.0000 0.0000 0.5000
N 0.5000 0.0000 0.0000

Summary:
Total DFT energy (no corrections) (eV/atom): -6.268


DFT (PBE) results for an optimized crystal structure of Na5Ag3Sb3.

Lattice parameters (Å, degrees): 4.3747 9.5949 9.5949 120.00 90.00 90.00
Positions (direct):
Na 0.5000 0.3333 0.6667
Na 0.5000 0.6667 0.3333
Na 0.5000 0.2934 0.2934
Na 0.5000 0.0000 0.7066
Na 0.5000 0.7066 0.0000
Ag 0.0000 0.8231 0.8231
Ag 0.0000 0.1769 0.0000
Ag 0.0000 0.0000 0.1769
Sb 0.5000 0.6485 0.6485
Sb 0.5000 0.0000 0.3515
Sb 0.5000 0.3515 0.0000

Summary:
Total DFT energy (no corrections) (eV/atom): -2.623


DFT (PBE) results for an optimized crystal structure of Ba2YRh.

Lattice parameters (Å, degrees): 6.6670 6.6670 6.6670 139.46 139.46 58.68
Positions (direct):
Ba 0.0000 0.0000 0.0000
Ba 0.5000 0.5000 0.0000
Rh 0.2500 0.7500 0.5000
Y 0.7500 0.2500 0.5000

Summary:
Calculated formation energy (eV per atom): 0.2625
Offset from the most stable computed form (meV/atom): 507


DFT (PBE) results for an optimized crystal structure of CePrMg2Hg4.

Lattice parameters (Å, degrees): 5.1946 5.1946 9.0186 73.26 73.26 60.00
Positions (direct):
Ce 0.5000 0.5000 0.5000
Pr 0.0000 0.0000 0.0000
Mg 0.7506 0.7506 0.7483
Mg 0.2494 0.2494 0.2517
Hg 0.3758 0.3758 0.8727
Hg 0.8744 0.8744 0.3768
Hg 0.1256 0.1256 0.6232
Hg 0.6242 0.6242 0.1273

Summary:
Calculated formation energy (eV per atom): -0.4320


DFT (PBE) results for an optimized crystal structure of LiEu3Pd.

Lattice parameters (Å, degrees): 5.7944 5.7944 5.7944 90.00 90.00 90.00
Positions (direct):
Eu 0.0000 0.5000 0.0000
Eu 0.0000 0.0000 0.5000
Eu 0.5000 0.0000 0.0000
Pd 0.0000 0.0000 0.0000
Li 0.5000 0.5000 0.5000

Summary:
Calculated formation energy (eV per atom): -0.1945


DFT (PBE) results for an optimized crystal structure of Dy2FeSi3Ir4.

Lattice parameters (Å, degrees): 4.1004 4.1004 9.9948 90.00 90.00 90.00
Positions (direct):
Dy 0.5000 0.0000 0.2532
Dy 0.0000 0.5000 0.7468
Fe 0.5000 0.5000 0.5000
Si 0.0000 0.0000 0.5000
Si 0.5000 0.0000 0.8702
Si 0.0000 0.5000 0.1298
Ir 0.5000 0.5000 0.0000
Ir 0.0000 0.0000 0.0000
Ir 0.5000 0.0000 0.6337
Ir 0.0000 0.5000 0.3663

Summary:
Total DFT energy (no corrections) (eV/atom): -7.863